No. 1
Entry from the Alexandria database: a relaxed CoTc2Os crystal (GGA-PBEsol).

abc: 2.6091 2.6091 8.7555
angles: 90.00 90.00 115.37
Atoms (fractional coordinates):
Tc 0.0000 0.0000 0.2594
Tc 0.0000 0.0000 0.7406
Co 0.5000 0.5000 0.5000
Os 0.5000 0.5000 0.0000

Output
**SG**: No. 65
**VASP energy**: -10.188 eV per atom

No. 2
Entry from the Alexandria database: a relaxed CrCd2Au crystal (GGA-PBEsol).

abc: 3.0658 3.0658 7.5972
angles: 90.00 90.00 89.98
Atoms (fractional coordinates):
Cd 0.0000 0.0000 0.7467
Cd 0.0000 0.0000 0.2533
Cr 0.5000 0.5000 0.5000
Au 0.5000 0.5000 0.0000

Output
**SG**: No. 123
**VASP energy**: -3.931 eV per atom

No. 3
Entry from the Alexandria database: a relaxed Na2BeB2O5 crystal (GGA-PBEsol).

abc: 5.0082 5.0082 8.9342
angles: 95.76 95.76 109.07
Atoms (fractional coordinates):
O 0.3256 0.9831 0.1577
O 0.0169 0.6744 0.3423
O 0.7577 0.5783 0.8709
O 0.5783 0.7577 0.3709
O 0.4217 0.2423 0.6291
O 0.0753 0.9247 0.7500
O 0.6744 0.0169 0.8423
O 0.9247 0.0753 0.2500
O 0.9831 0.3256 0.6577
O 0.2423 0.4217 0.1291
Na 0.6802 0.2930 0.4260
Na 0.7070 0.3198 0.0740
Na 0.2930 0.6802 0.9260
Na 0.3198 0.7070 0.5740
Be 0.2890 0.7110 0.2500
Be 0.7110 0.2890 0.7500
B 0.8291 0.8409 0.8229
B 0.8409 0.8291 0.3229
B 0.1591 0.1709 0.6771
B 0.1709 0.1591 0.1771

Output
**E_form (uncorrected)**: -2.381 eV per atom
**SG**: No. 15

No. 4
Entry from the Alexandria database: a relaxed La2MnW crystal (GGA-PBEsol).

abc: 4.3971 4.3971 5.4974
angles: 113.57 113.57 90.00
Atoms (fractional coordinates):
La 0.0000 0.0000 0.0000
La 0.7500 0.2500 0.5000
Mn 0.5000 0.5000 0.0000
W 0.2500 0.7500 0.5000

Output
**SG**: No. 119
**VASP energy**: -7.773 eV per atom

No. 5
Entry from the Alexandria database: a relaxed Ni7Pt crystal (GGA-PBEsol).

abc: 5.0010 5.0010 5.0010
angles: 60.00 60.00 60.00
Atoms (fractional coordinates):
Ni 0.5000 0.5000 0.0000
Ni 0.5000 0.0000 0.0000
Ni 0.0000 0.0000 0.5000
Ni 0.0000 0.5000 0.0000
Ni 0.0000 0.5000 0.5000
Ni 0.5000 0.5000 0.5000
Ni 0.5000 0.0000 0.5000
Pt 0.0000 0.0000 0.0000

Output
**SG**: No. 225
**VASP energy**: -6.278 eV per atom

No. 6
Entry from the Alexandria database: a relaxed ZrSc2Ru crystal (GGA-PBEsol).

abc: 3.2322 3.2322 7.5803
angles: 90.00 90.00 90.00
Atoms (fractional coordinates):
Ru 0.5000 0.5000 0.7477
Zr 0.0000 0.0000 0.5379
Sc 0.5000 0.5000 0.2668
Sc 0.0000 0.0000 0.9476

Output
**SG**: No. 99
**VASP energy**: -8.391 eV per atom

No. 7
Entry from the Alexandria database: a relaxed AlTcTeN2 crystal (GGA-PBEsol).

abc: 3.7362 3.7362 5.6205
angles: 90.00 90.00 90.00
Atoms (fractional coordinates):
Al 0.0000 0.0000 0.0000
N 0.5000 0.0000 0.0000
N 0.0000 0.5000 0.0000
Tc 0.5000 0.5000 0.5000
Te 0.0000 0.0000 0.5000

Output
**E_form (uncorrected)**: 1.184 eV per atom
**SG**: No. 123

No. 8
Entry from the Alexandria database: a relaxed Cs2Cr2Bi crystal (GGA-PBEsol).

abc: 3.2670 3.2670 13.4131
angles: 97.00 97.00 90.00
Atoms (fractional coordinates):
Cs 0.3821 0.3821 0.7642
Cs 0.6179 0.6179 0.2358
Bi 0.0000 0.0000 0.0000
Cr 0.7500 0.2500 0.5000
Cr 0.2500 0.7500 0.5000

Output
**SG**: No. 139
**VASP energy**: -4.566 eV per atom

No. 9
Entry from the Alexandria database: a relaxed KTa2Ru crystal (GGA-PBEsol).

abc: 3.0340 3.0340 10.2713
angles: 81.51 81.51 60.00
Atoms (fractional coordinates):
Ru 0.2658 0.2658 0.2025
K 0.5068 0.5068 0.4796
Ta 0.9929 0.9929 0.0213
Ta 0.7345 0.7345 0.7965

Output
**SG**: No. 160
**VASP energy**: -8.490 eV per atom

No. 10
Entry from the Alexandria database: a relaxed KBeCr2 crystal (GGA-PBEsol).

abc: 2.9525 4.7891 4.9175
angles: 90.00 90.00 90.00
Atoms (fractional coordinates):
Be 0.0000 0.5000 0.5000
K 0.5000 0.0000 0.5000
Cr 0.5000 0.5000 0.0000
Cr 0.0000 0.0000 0.0000

Output
**SG**: No. 47
**VASP energy**: -4.968 eV per atom

No. 11
Entry from the Alexandria database: a relaxed Ni2PbBr crystal (GGA-PBEsol).

abc: 3.3202 3.5580 6.1966
angles: 90.00 90.00 90.00
Atoms (fractional coordinates):
Ni 0.0000 0.5000 0.8045
Ni 0.0000 0.5000 0.1955
Br 0.5000 0.5000 0.5000
Pb 0.5000 0.0000 0.0000

Output
**E_form (uncorrected)**: 0.181 eV per atom
**SG**: No. 47

No. 12
Entry from the Alexandria database: a relaxed Ti2SbOsF crystal (GGA-PBEsol).

abc: 3.9029 5.0499 5.0499
angles: 90.00 90.00 90.00
Atoms (fractional coordinates):
Ti 0.0000 0.0000 0.5000
Ti 0.0000 0.5000 0.0000
Sb 0.0000 0.0000 0.0000
Os 0.5000 0.5000 0.5000
F 0.5000 0.0000 0.0000

Output
**E_form (uncorrected)**: 0.807 eV per atom
**SG**: No. 123

Q: Which DOS at the Fermi energy values were calculated for the entries above? A: 1.462, 0.394, 0.000, 1.245, 1.622, 1.265, 0.899, 0.781, 0.700, 0.576, 0.671, 1.004, in states/eV per atom.